Record 1
Entry from Alexandria: a geometry-optimized SrAc2Pu structure (PBE-GGA).

a = 3.9068 Å, b = 3.9068 Å, c = 38.1950 Å
α = 90.00°, β = 90.00°, γ = 120.00°
Last column: nearest neighbours and their distance in Å.
Atoms (fractional coordinates):
Sr 0.0000 0.0000 0.0000  6 Sr 3.91, 6 Ac 4.14
Sr 0.3333 0.6667 0.6667  6 Sr 3.91, 6 Ac 4.14
Sr 0.6667 0.3333 0.3333  6 Sr 3.91, 6 Ac 4.14
Ac 0.0000 0.0000 0.2425  3 Pu 3.67, 6 Ac 3.91
Ac 0.0000 0.0000 0.7575  3 Pu 3.67, 6 Ac 3.91
Ac 0.3333 0.6667 0.4241  3 Pu 3.67, 6 Ac 3.91
Ac 0.3333 0.6667 0.9092  3 Pu 3.67, 6 Ac 3.91
Ac 0.6667 0.3333 0.0908  3 Pu 3.67, 6 Ac 3.91
Ac 0.6667 0.3333 0.5759  3 Pu 3.67, 6 Ac 3.91
Pu 0.0000 0.0000 0.5000  6 Ac 3.67, 6 Pu 3.91
Pu 0.3333 0.6667 0.1667  6 Ac 3.67, 6 Pu 3.91
Pu 0.6667 0.3333 0.8333  6 Ac 3.67, 6 Pu 3.91

Output
- formation energy (eV/atom) = 0.1942
- symmetry = No. 166
- excess energy over the best structure of this formula in the dataset (eV/atom) = 0.022
- total energy (eV/f.u.) = -23.45

Record 2
Entry from Alexandria: a geometry-optimized AcTb2Pu structure (PBE-GGA).

a = 8.1929 Å, b = 8.1929 Å, c = 8.1929 Å
α = 90.00°, β = 90.00°, γ = 90.00°
Last column: nearest neighbours and their distance in Å.
Atoms (fractional coordinates):
Ac 0.0000 0.0000 0.0000  8 Tb 3.55
Ac 0.0000 0.5000 0.5000  8 Tb 3.55
Ac 0.5000 0.0000 0.5000  8 Tb 3.55
Ac 0.5000 0.5000 0.0000  8 Tb 3.55
Tb 0.2500 0.2500 0.2500  4 Ac 3.55, 4 Pu 3.55
Tb 0.2500 0.2500 0.7500  4 Ac 3.55, 4 Pu 3.55
Tb 0.2500 0.7500 0.2500  4 Ac 3.55, 4 Pu 3.55
Tb 0.2500 0.7500 0.7500  4 Ac 3.55, 4 Pu 3.55
Tb 0.7500 0.2500 0.2500  4 Ac 3.55, 4 Pu 3.55
Tb 0.7500 0.2500 0.7500  4 Ac 3.55, 4 Pu 3.55
Tb 0.7500 0.7500 0.2500  4 Ac 3.55, 4 Pu 3.55
Tb 0.7500 0.7500 0.7500  4 Ac 3.55, 4 Pu 3.55
Pu 0.0000 0.0000 0.5000  8 Tb 3.55
Pu 0.0000 0.5000 0.0000  8 Tb 3.55
Pu 0.5000 0.0000 0.0000  8 Tb 3.55
Pu 0.5000 0.5000 0.5000  8 Tb 3.55

Output
- formation energy (eV/atom) = 0.2600
- symmetry = No. 225
- excess energy over the best structure of this formula in the dataset (eV/atom) = 0.115
- total energy (eV/f.u.) = -26.66

Record 3
Entry from Alexandria: a geometry-optimized AcTb2Pu structure (PBE-GGA).

a = 3.6677 Å, b = 3.6677 Å, c = 10.0533 Å
α = 90.00°, β = 90.00°, γ = 90.00°
Last column: nearest neighbours and their distance in Å.
Atoms (fractional coordinates):
Ac 0.0000 0.0000 0.0000  4 Ac 3.67, 8 Tb 3.77
Tb 0.5000 0.5000 0.2720  4 Pu 3.46, 4 Tb 3.67, 4 Ac 3.77
Tb 0.5000 0.5000 0.7280  4 Pu 3.46, 4 Tb 3.67, 4 Ac 3.77
Pu 0.0000 0.0000 0.5000  8 Tb 3.46, 4 Pu 3.67

Output
- formation energy (eV/atom) = 0.1445
- symmetry = No. 123
- excess energy over the best structure of this formula in the dataset (eV/atom) = 0.000
- total energy (eV/f.u.) = -27.12

Record 4
Entry from Alexandria: a geometry-optimized Ac2TbPu structure (PBE-GGA).

a = 8.4130 Å, b = 8.4130 Å, c = 8.4130 Å
α = 90.00°, β = 90.00°, γ = 90.00°
Last column: nearest neighbours and their distance in Å.
Atoms (fractional coordinates):
Ac 0.2500 0.2500 0.2500  4 Pu 3.64, 4 Tb 3.64
Ac 0.2500 0.2500 0.7500  4 Tb 3.64, 4 Pu 3.64
Ac 0.2500 0.7500 0.2500  4 Tb 3.64, 4 Pu 3.64
Ac 0.2500 0.7500 0.7500  4 Tb 3.64, 4 Pu 3.64
Ac 0.7500 0.2500 0.2500  4 Tb 3.64, 4 Pu 3.64
Ac 0.7500 0.2500 0.7500  4 Tb 3.64, 4 Pu 3.64
Ac 0.7500 0.7500 0.2500  4 Tb 3.64, 4 Pu 3.64
Ac 0.7500 0.7500 0.7500  4 Tb 3.64, 4 Pu 3.64
Tb 0.0000 0.0000 0.0000  8 Ac 3.64
Tb 0.0000 0.5000 0.5000  8 Ac 3.64
Tb 0.5000 0.0000 0.5000  8 Ac 3.64
Tb 0.5000 0.5000 0.0000  8 Ac 3.64
Pu 0.0000 0.0000 0.5000  8 Ac 3.64
Pu 0.0000 0.5000 0.0000  8 Ac 3.64
Pu 0.5000 0.0000 0.0000  8 Ac 3.64
Pu 0.5000 0.5000 0.5000  8 Ac 3.64

Output
- formation energy (eV/atom) = 0.2384
- symmetry = No. 225
- excess energy over the best structure of this formula in the dataset (eV/atom) = 0.076
- total energy (eV/f.u.) = -26.23